This record from the Alexandria database describes crystalline Tb4Sm3Tm at its relaxed geometry. The functional is PBE.

a b c (Å): 23.463 3.484 6.741
angles (deg): 90.00 106.66 90.00
Space group C2/m (No. 12)
Symmetry-distinct sites (fractional):
1 Tb 0.124 0.000 0.383 x4
2 Tb 0.240 0.500 0.736 x4
3 Sm 0.000 0.000 0.000 x2
4 Sm 0.125 0.000 0.868 x4
5 Tm 0.000 0.500 0.500 x2

Values from the calculation:
Offset from the most stable computed form: 13.8 kJ per mole of atoms
Energy of formation: 0.1607 eV/atom
Fermi-level density of states: 14.4 states/eV/f.u.

=====

This record from the Alexandria database describes crystalline Ca2CeNbO6 at its relaxed geometry. The functional is PBE.

a b c (Å): 5.691 5.691 5.086
angles (deg): 90.00 90.00 90.00
Space group P4mm (No. 99)
Symmetry-distinct sites (fractional):
1 Ca 0.000 0.500 0.000 x2
2 Ce 0.000 0.000 0.592 x1
3 Nb 0.500 0.500 0.625 x1
4 O 0.000 0.000 0.176 x1
5 O 0.266 0.266 0.757 x4
6 O 0.500 0.500 0.261 x1

Values from the calculation:
Formation energy (no corrections): -28.8 eV/f.u.
Fermi-level density of states: 4.4 states/eV/f.u.

=====

This record from the Alexandria database describes crystalline Li3Np3PtSe8 at its relaxed geometry. The functional is PBE.

a b c (Å): 13.806 7.943 8.016
angles (deg): 90.00 124.96 90.00
Space group C2/m (No. 12)
Symmetry-distinct sites (fractional):
1 Li 0.000 0.000 0.000 x2
2 Li 0.250 0.250 0.000 x4
3 Np 0.000 0.500 0.500 x2
4 Np 0.250 0.250 0.500 x4
5 Pt 0.000 0.000 0.500 x2
6 Se 0.004 0.232 0.743 x8
7 Se 0.235 0.000 0.743 x4
8 Se 0.246 0.000 0.238 x4

Values from the calculation:
Formation energy (no corrections): -14.7 eV/f.u.
Fermi-level density of states: 22.1 states/eV/f.u.

=====

This record from the Alexandria database describes crystalline VPSCl2 at its relaxed geometry. The functional is PBE.

a b c (Å): 4.761 4.761 4.732
angles (deg): 90.00 90.00 90.00
Space group P4/mmm (No. 123)
Symmetry-distinct sites (fractional):
1 V 0.000 0.000 0.000 x1
2 P 0.500 0.500 0.500 x1
3 S 0.000 0.000 0.500 x1
4 Cl 0.000 0.500 0.000 x2

Values from the calculation:
Offset from the most stable computed form: 0.0 kJ per mole of atoms
Formation energy (no corrections): 0.3 eV/f.u.
Fermi-level density of states: 2.7 states/eV/f.u.